# 1
Below is crystalline Ac4RuPtAu2 at its relaxed geometry, with properties calculated at the GGA-PBE level.

The calculated volume is 31.24 Å³/atom. The energy of formation from the pure elements is -714 meV per atom. Its density of states at the Fermi level is 0.55 states/eV/atom. As for the calculated total energy: -5.502 eV/atom. The crystal system is monoclinic.

The space group is P2/m (No. 10) and the conventional cell measures 7.647, 4.391 and 7.862 Å, with angles of 90.00, 108.78 and 90.00 degrees. Symmetry generates all atoms from Ac at (0.233, 0.000, 0.222), Ac at (0.250, 0.500, 0.777), Ru at (0.000, 0.500, 0.000), Pt at (0.500, 0.000, 0.000), Au at (0.000, 0.000, 0.500) and Au at (0.500, 0.500, 0.500).

=====

# 2
Below is crystalline Ac4PtAuS2 at its relaxed geometry, with properties calculated at the GGA-PBE level.

Its formation energy without anion corrections is -1.42 eV/atom. The calculated volume is 31.07 Å³/atom. Its density of states at the Fermi level is 0.88 states/eV/atom. As for the calculated total energy: -5.673 eV/atom. The crystal system is monoclinic.

The space group is P2/m (No. 10) and the conventional cell measures 7.520, 4.341 and 8.008 Å, with angles of 90.00, 108.00 and 90.00 degrees. Symmetry generates all atoms from Ac at (0.242, 0.000, 0.242), Ac at (0.243, 0.500, 0.752), Pt at (0.000, 0.500, 0.000), Au at (0.500, 0.000, 0.000), S at (0.000, 0.000, 0.500) and S at (0.500, 0.500, 0.500).

=====

# 3
Below is crystalline Ac2SbPt6Au at its relaxed geometry, with properties calculated at the GGA-PBE level.

Its formation energy without anion corrections is -0.75 eV/atom. The calculated volume is 22.86 Å³/atom. Its density of states at the Fermi level is 0.36 states/eV/atom. As for the calculated total energy: -5.938 eV/atom. The crystal system is monoclinic.

The space group is C2/m (No. 12) and the conventional cell measures 12.590, 5.533 and 9.073 Å, with angles of 90.00, 133.66 and 90.00 degrees. Symmetry generates all atoms from Ac at (0.039, 0.000, 0.305), Sb at (0.000, 0.500, 0.000), Pt at (0.159, 0.500, 0.906), Pt at (0.242, 0.244, 0.242) and Au at (0.000, 0.500, 0.500).

=====

# 4
Below is crystalline AcSbPtAu at its relaxed geometry, with properties calculated at the GGA-PBE level.

Its formation energy without anion corrections is -0.65 eV/atom. The calculated volume is 24.51 Å³/atom. Its density of states at the Fermi level is 0.68 states/eV/atom. As for the calculated total energy: -5.039 eV/atom. The crystal system is cubic.

The space group is F-43m (No. 216) and the conventional cell measures 7.320, 7.320 and 7.320 Å, with angles of 90.00, 90.00 and 90.00 degrees. Symmetry generates all atoms from Ac at (0.000, 0.000, 0.000), Sb at (0.000, 0.000, 0.500), Pt at (0.250, 0.250, 0.750) and Au at (0.250, 0.250, 0.250).

=====

# 5
Below is crystalline Ac2Sb4Pt3Au at its relaxed geometry, with properties calculated at the GGA-PBE level.

Its formation energy without anion corrections is -0.84 eV/atom. The calculated volume is 24.61 Å³/atom. Its density of states at the Fermi level is 0.32 states/eV/atom. As for the calculated total energy: -5.455 eV/atom. The crystal system is tetragonal.

The space group is P-4m2 (No. 115) and the conventional cell measures 4.865, 4.865 and 10.398 Å, with angles of 90.00, 90.00 and 90.00 degrees. Symmetry generates all atoms from Ac at (0.000, 0.500, 0.240), Sb at (0.000, 0.000, 0.500), Sb at (0.000, 0.500, 0.871), Sb at (0.500, 0.500, 0.500), Pt at (0.000, 0.000, 0.000), Pt at (0.000, 0.500, 0.617) and Au at (0.500, 0.500, 0.000).

=====

# 6
Below is crystalline AcSi2Pt5Au at its relaxed geometry, with properties calculated at the GGA-PBE level.

Its formation energy without anion corrections is -0.61 eV/atom. The calculated volume is 20.55 Å³/atom. Its density of states at the Fermi level is 0.30 states/eV/atom. As for the calculated total energy: -5.994 eV/atom. The crystal system is tetragonal.

The space group is P4/mmm (No. 123) and the conventional cell measures 4.157, 4.157 and 10.699 Å, with angles of 90.00, 90.00 and 90.00 degrees. Symmetry generates all atoms from Ac at (0.000, 0.000, 0.000), Si at (0.500, 0.500, 0.222), Pt at (0.000, 0.500, 0.325), Pt at (0.500, 0.500, 0.000) and Au at (0.000, 0.000, 0.500).